Version P
# AlSnAu4

Crystalline AlSnAu4 at its relaxed geometry (PBE-GGA, the Alexandria database).

```
data_AlSnAu4
_chemical_formula_sum 'Al4 Sn4 Au16'
_symmetry_space_group_name_H-M 'C 1 2/c 1'
_symmetry_Int_Tables_number 15
_cell_length_a 17.765
_cell_length_b 5.122
_cell_length_c 5.170
_cell_angle_alpha 90.00
_cell_angle_beta 104.50
_cell_angle_gamma 90.00
loop_
_symmetry_equiv_pos_as_xyz
'x,y,z'
'-x,-y,-z'
'-x,y,-z+1/2'
'x,-y,z+1/2'
'x+1/2,y+1/2,z'
'-x+1/2,-y+1/2,-z'
'-x+1/2,y+1/2,-z+1/2'
'x+1/2,-y+1/2,z+1/2'
loop_
_atom_site_label
_atom_site_type_symbol
_atom_site_fract_x
_atom_site_fract_y
_atom_site_fract_z
Al1 Al 0.250 0.250 0.000
Sn1 Sn 0.000 0.249 0.250
Au1 Au 0.091 0.252 0.814
Au2 Au 0.173 0.247 0.376
```

Calculated values
Fermi-level density of states	5.01	states/eV/cell

---

Version Q
# AlSnAu4

Crystalline AlSnAu4 at its relaxed geometry (PBE-GGA, the Alexandria database).

```
data_AlSnAu4
_chemical_formula_sum 'Al2 Sn2 Au8'
_symmetry_space_group_name_H-M 'P 1 21/m 1'
_symmetry_Int_Tables_number 11
_cell_length_a 5.889
_cell_length_b 5.562
_cell_length_c 7.448
_cell_angle_alpha 90.00
_cell_angle_beta 104.58
_cell_angle_gamma 90.00
loop_
_symmetry_equiv_pos_as_xyz
'x,y,z'
'-x,-y,-z'
'-x,y+1/2,-z'
'x,-y+1/2,z'
loop_
_atom_site_label
_atom_site_type_symbol
_atom_site_fract_x
_atom_site_fract_y
_atom_site_fract_z
Al1 Al 0.206 0.250 0.482
Sn1 Sn 0.380 0.750 0.122
Au1 Au 0.107 0.002 0.758
Au2 Au 0.268 0.250 0.118
Au3 Au 0.363 0.750 0.514
```

Calculated values
Fermi-level density of states	4.01	states/eV/cell

---

version P takes first place; second place is 1.3 kJ/mol of atoms up.

---

Version P
# AlSnAu3

Crystalline AlSnAu3 at its relaxed geometry (PBE-GGA, the Alexandria database).

```
data_AlSnAu3
_chemical_formula_sum 'Al1 Sn1 Au3'
_symmetry_space_group_name_H-M 'P m -3 m'
_symmetry_Int_Tables_number 221
_symmetry_space_group_name_Hall '-P 4 2 3'
_cell_length_a 5.223
_cell_length_b 5.223
_cell_length_c 5.223
_cell_angle_alpha 90.00
_cell_angle_beta 90.00
_cell_angle_gamma 90.00
loop_
_atom_site_label
_atom_site_type_symbol
_atom_site_fract_x
_atom_site_fract_y
_atom_site_fract_z
Al1 Al 0.000 0.000 0.000
Sn1 Sn 0.500 0.500 0.500
Au1 Au 0.000 0.500 0.500
```

Calculated values
Fermi-level density of states	0.92	states/eV/cell

---

Version Q
# AlSnAu3

Crystalline AlSnAu3 at its relaxed geometry (PBE-GGA, the Alexandria database).

```
data_AlSnAu3
_chemical_formula_sum 'Al2 Sn2 Au6'
_symmetry_space_group_name_H-M 'P 63/m m c'
_symmetry_Int_Tables_number 194
_symmetry_space_group_name_Hall '-P 6c 2c'
_cell_length_a 6.6177
_cell_length_b 6.6177
_cell_length_c 5.4867
_cell_angle_alpha 90.00
_cell_angle_beta 90.00
_cell_angle_gamma 120.00
loop_
_atom_site_label
_atom_site_type_symbol
_atom_site_fract_x
_atom_site_fract_y
_atom_site_fract_z
Al1 Al 0.0000 0.0000 0.0000
Sn1 Sn 0.3333 0.6667 0.2500
Au1 Au 0.1909 0.3817 0.7500
```

Calculated values
Fermi-level density of states	3.24	states/eV/cell

---

Version R
# AlSnAu3

Crystalline AlSnAu3 at its relaxed geometry (PBE-GGA, the Alexandria database).

```
data_AlSnAu3
_chemical_formula_sum 'Al4 Sn4 Au12'
_symmetry_space_group_name_H-M 'C 1 2/m 1'
_symmetry_Int_Tables_number 12
_cell_length_a 15.465
_cell_length_b 4.152
_cell_length_c 6.905
_cell_angle_alpha 90.00
_cell_angle_beta 98.35
_cell_angle_gamma 90.00
loop_
_symmetry_equiv_pos_as_xyz
'x,y,z'
'-x,-y,-z'
'-x,y,-z'
'x,-y,z'
'x+1/2,y+1/2,z'
'-x+1/2,-y+1/2,-z'
'-x+1/2,y+1/2,-z'
'x+1/2,-y+1/2,z'
loop_
_atom_site_label
_atom_site_type_symbol
_atom_site_fract_x
_atom_site_fract_y
_atom_site_fract_z
Al1 Al 0.090 0.000 0.489
Sn1 Sn 0.162 0.500 0.878
Au1 Au 0.028 0.000 0.811
Au2 Au 0.158 0.000 0.163
Au3 Au 0.185 0.500 0.472
```

Calculated values
Fermi-level density of states	6.38	states/eV/cell

---

Version S
# AlSnAu3

Crystalline AlSnAu3 at its relaxed geometry (PBE-GGA, the Alexandria database).

```
data_AlSnAu3
_chemical_formula_sum 'Al1 Sn1 Au3'
_symmetry_space_group_name_H-M 'P m -3 m'
_symmetry_Int_Tables_number 221
_symmetry_space_group_name_Hall '-P 4 2 3'
_cell_length_a 4.885
_cell_length_b 4.885
_cell_length_c 4.885
_cell_angle_alpha 90.00
_cell_angle_beta 90.00
_cell_angle_gamma 90.00
loop_
_atom_site_label
_atom_site_type_symbol
_atom_site_fract_x
_atom_site_fract_y
_atom_site_fract_z
Al1 Al 0.000 0.000 0.000
Sn1 Sn 0.500 0.500 0.500
Au1 Au 0.000 0.000 0.500
```

Calculated values
Fermi-level density of states	1.46	states/eV/cell

---

version R takes first place; second place is 4.9 kJ/mol of atoms up.